[1]
This record from Alexandria via LeMat-Bulk describes an optimized crystal structure of PbI2F. The functional is PBE.

crystal system	cubic
calculated volume	28.706	Å³/atom
uncorrected formation energy	-0.509	eV/atom
theoretical density	6.942	g cm⁻³
D(E_F)	1.217	states/eV per atom

a = 7.7155 Å, b = 7.7155 Å, c = 7.7155 Å
α = 90.00°, β = 90.00°, γ = 90.00°
Last column: nearest neighbours and their distance in Å.
Space group Fm-3m (No. 225)
Inequivalent atoms, fractional coordinates:
Pb1 0.0000 0.0000 0.0000  8 I 3.34
I1 0.2500 0.2500 0.2500  4 F 3.34, 4 Pb 3.34
F1 0.0000 0.0000 0.5000  8 I 3.34

***

[2]
This record from Alexandria via LeMat-Bulk describes an optimized crystal structure of Pb2IF3. The functional is PBE.

crystal system	monoclinic
calculated volume	22.883	Å³/atom
uncorrected formation energy	-1.936	eV/atom
theoretical density	7.236	g cm⁻³
D(E_F)	0.000	states/eV per atom

a = 15.7091 Å, b = 4.1883 Å, c = 9.2105 Å
α = 90.00°, β = 115.01°, γ = 90.00°
Last column: nearest neighbours and their distance in Å.
Space group C2/m (No. 12)
Inequivalent atoms, fractional coordinates:
Pb1 0.0144 0.0000 0.2298  4 F 2.34-2.56
Pb2 0.1815 0.5000 0.6256  6 F 2.40-2.63
I1 0.1440 0.5000 0.0687  6 Pb 3.51-3.65, 3 F 3.67-3.91
F1 0.0428 0.5000 0.3774  3 Pb 2.40-2.43
F2 0.1028 0.0000 0.6763  3 Pb 2.34-2.57
F3 0.1809 0.0000 0.4533  4 Pb 2.55-2.63, 1 F 2.80

***

[3]
This record from Alexandria via LeMat-Bulk describes an optimized crystal structure of PbIF6. The functional is PBE.

crystal system	monoclinic
calculated volume	24.024	Å³/atom
uncorrected formation energy	-1.730	eV/atom
theoretical density	3.871	g cm⁻³
D(E_F)	0.221	states/eV per atom

a = 12.7541 Å, b = 9.3926 Å, c = 9.0472 Å
α = 90.00°, β = 134.82°, γ = 90.00°
Last column: nearest neighbours and their distance in Å.
Space group C2/m (No. 12)
Inequivalent atoms, fractional coordinates:
Pb1 0.2500 0.2500 0.0000  6 F 2.36-2.55
I1 0.2500 0.2500 0.5000  4 F 2.04
F1 0.0291 0.2310 0.2423  1 I 2.04
F2 0.2145 0.2283 0.6859  1 I 2.04
F3 0.2344 0.5000 0.9706  2 Pb 2.36
F4 0.2378 0.5000 0.4976  2 I 2.35

***

[4]
This record from Alexandria via LeMat-Bulk describes an optimized crystal structure of Pb2IF4. The functional is PBE.

crystal system	trigonal
calculated volume	23.705	Å³/atom
uncorrected formation energy	-1.892	eV/atom
theoretical density	6.177	g cm⁻³
D(E_F)	0.884	states/eV per atom

a = 4.1084 Å, b = 4.1084 Å, c = 34.0562 Å
α = 90.00°, β = 90.00°, γ = 120.00°
Last column: nearest neighbours and their distance in Å.
Space group R-3m (No. 166, hexagonal axes)
Inequivalent atoms, fractional coordinates:
Pb1 0.0000 0.0000 0.2180  7 F 2.49-2.58
I1 0.0000 0.0000 0.0000  6 F 3.93, 6 I 4.11
F1 0.0000 0.0000 0.1450  4 Pb 2.49-2.58
F2 0.0000 0.0000 0.4255  3 Pb 2.50